# GGA+U Na2CoO3, optimized geometry
# raw total energy: -4.941 eV per atom
data_Na2CoO3
_space_group_name_H-M_alt 'F d d d'
_space_group_IT_number 70
_cell_length_a 6.3483
_cell_length_b 8.7754
_cell_length_c 17.8942
_cell_angle_alpha 90.00
_cell_angle_beta 90.00
_cell_angle_gamma 90.00
loop_
_space_group_symop_operation_xyz
'x,y,z'
'-x,-y,-z'
'-x+1/4,-y+1/4,z'
'x+1/4,y+1/4,-z'
'x,-y+1/4,-z+1/4'
'-x,y+1/4,z+1/4'
'-x+1/4,y,-z+1/4'
'x+1/4,-y,z+1/4'
'x,y+1/2,z+1/2'
'-x,-y+1/2,-z+1/2'
'-x+1/4,-y+3/4,z+1/2'
'x+1/4,y+3/4,-z+1/2'
'x,-y+3/4,-z+3/4'
'-x,y+3/4,z+3/4'
'-x+1/4,y+1/2,-z+3/4'
'x+1/4,-y+1/2,z+3/4'
'x+1/2,y,z+1/2'
'-x+1/2,-y,-z+1/2'
'-x+3/4,-y+1/4,z+1/2'
'x+3/4,y+1/4,-z+1/2'
'x+1/2,-y+1/4,-z+3/4'
'-x+1/2,y+1/4,z+3/4'
'-x+3/4,y,-z+3/4'
'x+3/4,-y,z+3/4'
'x+1/2,y+1/2,z'
'-x+1/2,-y+1/2,-z'
'-x+3/4,-y+3/4,z'
'x+3/4,y+3/4,-z'
'x+1/2,-y+3/4,-z+1/4'
'-x+1/2,y+3/4,z+1/4'
'-x+3/4,y+1/2,-z+1/4'
'x+3/4,-y+1/2,z+1/4'
loop_
_atom_site_label
_atom_site_type_symbol
_atom_site_fract_x
_atom_site_fract_y
_atom_site_fract_z
_atom_site_occupancy
Na1 Na 0.1250 0.1250 0.0473 1
Na2 Na 0.1250 0.1250 0.3687 1
Co1 Co 0.1250 0.1250 0.5389 1
O1 O 0.0670 0.3750 0.8750 1
O2 O 0.0972 0.3525 0.7202 1